(1)
# BaGaGeIr

BaGaGeIr after structural relaxation (GGA-PBE, the Alexandria database).

For the energy relative to the elements, the calculation gives -0.452 eV per atom. The space group is P4/nmm, No. 129.

abc: 4.145 4.145 12.248
angles: 90.00 90.00 90.00
Positions (direct):
1 Ba 0.250 0.250 0.248
2 Ba 0.750 0.750 0.752
3 Ga 0.250 0.750 0.500
4 Ga 0.750 0.250 0.500
5 Ge 0.250 0.250 0.889
6 Ge 0.750 0.750 0.111
7 Ir 0.250 0.750 0.000
8 Ir 0.750 0.250 0.000

---

(2)
# CsSnPS6

CsSnPS6 after structural relaxation (GGA-PBE, the Alexandria database).

The space group is P312, No. 149.

abc: 6.137 6.137 8.274
angles: 90.00 90.00 120.00
Positions (direct):
1 Cs 0.000 0.000 0.000
2 Sn 0.333 0.667 0.500
3 P 0.667 0.333 0.500
4 S 0.390 0.046 0.667
5 S 0.390 0.344 0.333
6 S 0.656 0.046 0.333
7 S 0.656 0.610 0.667
8 S 0.954 0.344 0.667
9 S 0.954 0.610 0.333

---

no.,electronic total energy (eV/cell)
1,-40.47
2,-36.47